Entry 1:
# CuReHg

A relaxed CuReHg crystal (PBE-GGA, Alexandria via LeMat-Bulk).

a = 2.831 Å, b = 2.831 Å, c = 6.943 Å
α = 90.00°, β = 90.00°, γ = 120.00°
Atoms (fractional coordinates):
Cu 0.000 0.000 0.000
Re 0.333 0.667 0.702
Hg 0.667 0.333 0.337

Values from the calculation:
The value obtained for the energy of formation is 0.563 eV per atom. Its energy above the most stable polymorph in this dataset is 0 meV per atom.



Entry 2:
# Cu2ReHg

A relaxed Cu2ReHg crystal (PBE-GGA, Alexandria via LeMat-Bulk).

a = 4.440 Å, b = 4.440 Å, c = 4.440 Å
α = 60.00°, β = 60.00°, γ = 60.00°
Atoms (fractional coordinates):
Cu 0.000 0.000 0.000
Cu 0.250 0.250 0.250
Re 0.750 0.750 0.750
Hg 0.500 0.500 0.500

Values from the calculation:
The value obtained for the energy of formation is 0.809 eV per atom.



Entry 3:
# CuRe3Hg

A relaxed CuRe3Hg crystal (PBE-GGA, Alexandria via LeMat-Bulk).

a = 4.494 Å, b = 4.494 Å, c = 4.494 Å
α = 90.00°, β = 90.00°, γ = 90.00°
Atoms (fractional coordinates):
Cu 0.000 0.000 0.000
Re 0.000 0.000 0.500
Re 0.000 0.500 0.000
Re 0.500 0.000 0.000
Hg 0.500 0.500 0.500

Values from the calculation:
The value obtained for the energy of formation is 2.076 eV per atom. Its energy above the most stable polymorph in this dataset is 0 meV per atom.



Entry 4:
# Cu2ReHg

A relaxed Cu2ReHg crystal (PBE-GGA, Alexandria via LeMat-Bulk).

a = 5.617 Å, b = 5.617 Å, c = 5.617 Å
α = 103.91°, β = 103.91°, γ = 121.28°
Atoms (fractional coordinates):
Cu 0.111 0.625 0.986
Cu 0.375 0.361 0.486
Cu 0.639 0.125 0.014
Cu 0.875 0.889 0.514
Re 0.000 0.000 0.000
Re 0.750 0.250 0.500
Hg 0.250 0.750 0.500
Hg 0.500 0.500 0.000

Values from the calculation:
The value obtained for the energy of formation is 1.006 eV per atom.



Entry 5:
# Cu2ReHg

A relaxed Cu2ReHg crystal (PBE-GGA, Alexandria via LeMat-Bulk).

a = 2.822 Å, b = 2.822 Å, c = 7.485 Å
α = 90.00°, β = 90.00°, γ = 90.00°
Atoms (fractional coordinates):
Cu 0.000 0.000 0.000
Cu 0.500 0.500 0.205
Re 0.500 0.500 0.774
Hg 0.000 0.000 0.472

Values from the calculation:
The value obtained for the energy of formation is 0.474 eV per atom.



Entry 6:
# CuReHg2Se

A relaxed CuReHg2Se crystal (PBE-GGA, Alexandria via LeMat-Bulk).

a = 5.094 Å, b = 5.094 Å, c = 4.677 Å
α = 90.00°, β = 90.00°, γ = 90.00°
Atoms (fractional coordinates):
Cu 0.000 0.000 0.000
Re 0.500 0.500 0.500
Hg 0.000 0.500 0.000
Hg 0.500 0.000 0.000
Se 0.000 0.000 0.500

Values from the calculation:
Its formation energy (no corrections) is 1.290 eV/atom.